Record 1
The following is a PBE calculation of crystalline CeDy3S4 at its relaxed geometry, from Alexandria.

Polymorph energy (0 for the lowest one), eV per atom: 0.011
Uncorrected energy, eV per cell: -52.25

Cell: 5.5644 5.5644 5.5644 Å, 90.00 90.00 90.00°
Closest atoms and distances in Å follow each position.
Space group Pm-3m (No. 221)
Symmetry-distinct sites (fractional):
1 Ce 0.0000 0.0000 0.0000 [1 per cell]  6 S 2.78
2 Dy 0.0000 0.5000 0.5000 [3 per cell]  6 S 2.78
3 S 0.0000 0.0000 0.5000 [3 per cell]  4 Dy 2.78, 2 Ce 2.78
4 S 0.5000 0.5000 0.5000 [1 per cell]  6 Dy 2.78

Record 2
The following is a PBE calculation of crystalline CeDy5S6 at its relaxed geometry, from Alexandria.

Uncorrected energy, eV per cell: -155.55

Cell: 6.7916 11.7901 6.7953 Å, 90.00 109.66 90.00°
Closest atoms and distances in Å follow each position.
Space group C2/m (No. 12)
Symmetry-distinct sites (fractional):
1 Ce 0.0000 0.0000 0.0000 [2 per cell]  6 S 2.81-2.82
2 Dy 0.0000 0.1665 0.5000 [4 per cell]  6 S 2.73-2.78
3 Dy 0.0000 0.3328 0.0000 [4 per cell]  6 S 2.77-2.78
4 Dy 0.0000 0.5000 0.5000 [2 per cell]  6 S 2.73-2.77
5 S 0.2462 0.3308 0.7464 [8 per cell]  5 Dy 2.73-2.78, 1 Ce 2.81
6 S 0.2456 0.5000 0.2531 [4 per cell]  5 Dy 2.73-2.78, 1 Ce 2.82

Record 3
The following is a PBE calculation of crystalline CeDyS at its relaxed geometry, from Alexandria.

Polymorph energy (0 for the lowest one), eV per atom: 0.179
Uncorrected energy, eV per cell: -70.52

Cell: 9.5364 9.5364 3.7772 Å, 90.00 90.00 90.00°
Closest atoms and distances in Å follow each position.
Space group P4_2/m (No. 84)
Symmetry-distinct sites (fractional):
1 Ce 0.0840 0.7646 0.0000 [4 per cell]  3 S 2.77-2.83
2 Dy 0.2808 0.4314 0.0000 [4 per cell]  2 S 2.70
3 S 0.0970 0.3467 0.5000 [4 per cell]  2 Dy 2.70, 3 Ce 2.77-2.83

Record 4
The following is a PBE calculation of crystalline CeDyS2 at its relaxed geometry, from Alexandria.

Polymorph energy (0 for the lowest one), eV per atom: 0.000
Uncorrected energy, eV per cell: -80.73

Cell: 3.9481 3.9481 19.6058 Å, 90.00 90.00 120.00°
Closest atoms and distances in Å follow each position.
Space group R-3m (No. 166, hexagonal axes)
Symmetry-distinct sites (fractional):
1 Ce 0.0000 0.0000 0.0000 [3 per cell]  6 S 2.85
2 Dy 0.0000 0.0000 0.5000 [3 per cell]  6 S 2.76
3 S 0.0000 0.0000 0.2461 [6 per cell]  3 Dy 2.76, 3 Ce 2.85

Record 5
The following is a PBE calculation of crystalline CeDyS4 at its relaxed geometry, from Alexandria.

Polymorph energy (0 for the lowest one), eV per atom: 0.000
Uncorrected energy, eV per cell: -146.42

Cell: 9.1988 11.2207 6.9047 Å, 90.00 128.81 90.00°
Closest atoms and distances in Å follow each position.
Space group C2/c (No. 15)
Symmetry-distinct sites (fractional):
1 Ce 0.0000 0.1290 0.2500 [4 per cell]  8 S 2.82-2.88
2 Dy 0.0000 0.4842 0.7500 [4 per cell]  8 S 2.78-2.90
3 S 0.1430 0.3213 0.6024 [8 per cell]  2 Dy 2.79-2.90, 2 Ce 2.82-2.88, 2 S 2.92-3.01
4 S 0.2059 0.0627 0.7526 [8 per cell]  2 Dy 2.78-2.86, 2 Ce 2.82-2.86, 2 S 2.92-3.01

Record 6
The following is a PBE calculation of crystalline CeDy4S5 at its relaxed geometry, from Alexandria.

Uncorrected energy, eV per cell: -130.08

Cell: 3.9153 5.5582 19.6961 Å, 90.00 90.00 90.00°
Closest atoms and distances in Å follow each position.
Space group Immm (No. 71)
Symmetry-distinct sites (fractional):
1 Ce 0.0000 0.0000 0.0000 [2 per cell]  6 S 2.78-2.83
2 Dy 0.0000 0.0000 0.1995 [4 per cell]  6 S 2.72-2.79
3 Dy 0.0000 0.0000 0.4013 [4 per cell]  6 S 2.76-2.79
4 S 0.0000 0.5000 0.0000 [2 per cell]  4 Dy 2.76, 2 Ce 2.78
5 S 0.0000 0.5000 0.1998 [4 per cell]  6 Dy 2.78-2.79
6 S 0.0000 0.5000 0.3964 [4 per cell]  4 Dy 2.72-2.78, 2 Ce 2.83

Record 7
The following is a PBE calculation of crystalline Ce5DyS6 at its relaxed geometry, from Alexandria.

Uncorrected energy, eV per cell: -167.01

Cell: 6.9269 12.0006 6.9264 Å, 90.00 109.50 90.00°
Closest atoms and distances in Å follow each position.
Space group C2/m (No. 12)
Symmetry-distinct sites (fractional):
1 Ce 0.0000 0.0000 0.0000 [2 per cell]  6 S 2.83-2.87
2 Ce 0.0000 0.1664 0.5000 [4 per cell]  6 S 2.83
3 Ce 0.0000 0.3319 0.0000 [4 per cell]  6 S 2.83-2.87
4 Dy 0.0000 0.5000 0.5000 [2 per cell]  6 S 2.78
5 S 0.2454 0.3362 0.7452 [8 per cell]  1 Dy 2.78, 5 Ce 2.83-2.87
6 S 0.2449 0.5000 0.2527 [4 per cell]  1 Dy 2.78, 5 Ce 2.83-2.87

Record 8
The following is a PBE calculation of crystalline CeDyS at its relaxed geometry, from Alexandria.

Polymorph energy (0 for the lowest one), eV per atom: 0.000
Uncorrected energy, eV per cell: -18.17

Cell: 3.8034 3.8034 6.5171 Å, 90.00 90.00 120.00°
Closest atoms and distances in Å follow each position.
Space group P3m1 (No. 156)
Symmetry-distinct sites (fractional):
1 Ce 0.0000 0.0000 0.0000 [1 per cell]  3 S 2.82
2 Dy 0.6667 0.3333 0.5186 [1 per cell]  3 S 2.72
3 S 0.3333 0.6667 0.2711 [1 per cell]  3 Dy 2.72, 3 Ce 2.82

| no. | M_tot (Bohr magnetons per cell) |
| --- | --- |
| 1 | 0.69 |
| 2 | 1.24 |
| 3 | 4.65 |
| 4 | 2.32 |
| 5 | 0.00 |
| 6 | 1.19 |
| 7 | 5.26 |
| 8 | 1.05 |